1.
VASP calculation (meta-GGA SCAN) on a crystal of FeRe3 relaxed with PBEsol.

Calculated values
**Energy**: -57.7606 eV per atom

abc: 5.3732 5.3732 4.3270
angles: 90.00 90.00 120.00
Last column: nearest neighbours and their distance in Å.
Space group P6_3/mmc (No. 194)
One atom of each set of equivalent atoms:
Fe  0.3333  0.6667  0.2500  12 Re 2.66-2.69
Re  0.1679  0.3357  0.7500  4 Fe 2.66-2.69, 8 Re 2.67-2.71



2.
VASP calculation (meta-GGA SCAN) on a crystal of NbInC2 relaxed with PBEsol.

Calculated values
**Energy**: -21.1978 eV per atom

abc: 5.0015 5.0015 9.7919
angles: 90.00 90.00 90.00
Last column: nearest neighbours and their distance in Å.
Space group I-42d (No. 122)
One atom of each set of equivalent atoms:
Nb  0.0000  0.0000  0.0000  4 C 2.06
In  0.0000  0.0000  0.5000  4 C 2.25
C  0.2180  0.2500  0.1250  2 Nb 2.06, 2 In 2.25



3.
VASP calculation (meta-GGA SCAN) on a crystal of Li2CoPb relaxed with PBEsol.

Calculated values
**Energy**: -24.1760 eV per atom

abc: 3.6955 3.6955 19.3558
angles: 90.00 90.00 90.00
Last column: nearest neighbours and their distance in Å.
Space group I-42d (No. 122)
One atom of each set of equivalent atoms:
Li  0.2290  0.2500  0.1250  4 Li 2.51-2.72, 2 Co 2.72, 2 Pb 2.78
Co  0.0000  0.0000  0.0000  4 Pb 2.61, 4 Li 2.72
Pb  0.0000  0.0000  0.5000  4 Co 2.61, 4 Li 2.78



4.
VASP calculation (meta-GGA SCAN) on a crystal of AlAs2Br relaxed with PBEsol.

Calculated values
**Energy**: -16.7449 eV per atom
**ΔE to the lowest computed polymorph**: 127 meV/atom
**E_form (uncorrected)**: 0.15 eV/atom

abc: 3.1809 4.6926 10.6317
angles: 90.00 90.00 90.00
Last column: nearest neighbours and their distance in Å.
Space group Immm (No. 71)
One atom of each set of equivalent atoms:
Al  0.0000  0.0000  0.0000  4 As 2.74, 4 Br 2.83
As  0.0000  0.5000  0.2904  2 Al 2.74, 4 As 2.96
Br  0.0000  0.0000  0.5000  4 Al 2.83



5.
VASP calculation (meta-GGA SCAN) on a crystal of Co2SiO4 relaxed with PBEsol.

Calculated values
**Energy**: -11.8454 eV per atom
**ΔE to the lowest computed polymorph**: 28 meV/atom
**E_form (uncorrected)**: -1.91 eV/atom

abc: 8.0554 8.0554 8.0554
angles: 90.00 90.00 90.00
Last column: nearest neighbours and their distance in Å.
Space group Fd-3m (No. 227, origin choice 2)
One atom of each set of equivalent atoms:
Co  0.0000  0.0000  0.0000  6 O 2.07
Si  0.1250  0.1250  0.6250  4 O 1.65
O  0.0065  0.0065  0.7435  1 Si 1.65



6.
VASP calculation (meta-GGA SCAN) on a crystal of La2Rh2Au relaxed with PBEsol.

Calculated values
**Energy**: -45.4161 eV per atom
**ΔE to the lowest computed polymorph**: 0 meV/atom

abc: 7.4265 7.4265 3.8755
angles: 90.00 90.00 90.00
Last column: nearest neighbours and their distance in Å.
Space group P4/mbm (No. 127)
One atom of each set of equivalent atoms:
La  0.1748  0.3252  0.0000  6 Rh 2.79-3.02
Rh  0.1336  0.6336  0.5000  6 La 2.79-3.02, 1 Rh 2.81, 2 Au 2.90
Au  0.0000  0.0000  0.5000  4 Rh 2.90



- The lowest energy belongs to which entry?
  FeRe3